Below is ScOsI2O after structural relaxation, with properties calculated at the PBE level.

Summary:
The calculation puts the formation energy from raw total energies at 0.100 eV/atom. The raw total energy comes out at -25.122 eV for the cell shown. As for the symmetry: P4/mmm (123). For the density of states at the Fermi level, the calculation gives 6.4 states/eV per cell.

CIF file:
```
data_ScOsI2O
_chemical_formula_sum 'Sc1 Os1 I2 O1'
_cell_length_a 5.672
_cell_length_b 5.672
_cell_length_c 3.743
_cell_angle_alpha 90.00
_cell_angle_beta 90.00
_cell_angle_gamma 90.00
_space_group_name_H-M_alt 'P 1'
_space_group_IT_number 1
loop_
_space_group_symop_operation_xyz
'x,y,z'
loop_
_atom_site_label
_atom_site_type_symbol
_atom_site_fract_x
_atom_site_fract_y
_atom_site_fract_z
Sc1 Sc 0.000 0.000 0.000
Os1 Os 0.500 0.500 0.500
I1 I 0.000 0.500 0.000
I2 I 0.500 0.000 0.000
O1 O 0.000 0.000 0.500
```